# Ca2I2Br (PBE, relaxed)
# total energy = -3.118 eV/atom
# energy relative to the elements, uncorrected = -6.813 eV per formula unit
# ΔE to the lowest computed polymorph = 60 meV per atom
data_Ca2I2Br
_space_group_name_H-M_alt 'P 1'
_space_group_IT_number 1
_space_group_name_Hall 'P 1'
_cell_length_a 8.308
_cell_length_b 8.308
_cell_length_c 4.839
_cell_angle_alpha 90.00
_cell_angle_beta 90.00
_cell_angle_gamma 90.00
loop_
_atom_site_label
_atom_site_type_symbol
_atom_site_fract_x
_atom_site_fract_y
_atom_site_fract_z
_atom_site_occupancy
I1 I 0.159 0.659 0.500 1
I2 I 0.659 0.841 0.500 1
I3 I 0.841 0.341 0.500 1
I4 I 0.341 0.159 0.500 1
Ca1 Ca 0.341 0.841 0.000 1
Ca2 Ca 0.841 0.659 0.000 1
Ca3 Ca 0.659 0.159 0.000 1
Ca4 Ca 0.159 0.341 0.000 1
Br1 Br 0.000 0.000 0.000 1
Br2 Br 0.500 0.500 0.000 1